The following is a PBE calculation of a relaxed structure of Ti2NiSbH, from Alexandria via LeMat-Bulk.

Output
- SG = P4/mmm (123)
- total DFT energy (no corrections) (eV/atom) = -6.235

Lattice parameters (Å, degrees): 4.0064 4.0064 4.0857 90.00 90.00 90.00
Last column: nearest neighbours and their distance in Å.
Sites, in units of the cell vectors:
1 Ti 0.0000 0.5000 0.0000  2 H 2.00
2 Ti 0.5000 0.0000 0.0000  2 H 2.00
3 Ni 0.0000 0.0000 0.5000  2 H 2.04
4 H 0.0000 0.0000 0.0000  4 Ti 2.00, 2 Ni 2.04
5 Sb 0.5000 0.5000 0.5000  4 Ni 2.83, 8 Ti 2.86